# MgAlPb2O6 (PBE, relaxed)
data_MgAlPb2O6
_chemical_formula_sum 'Mg3 Al3 Pb6 O18'
_space_group_name_H-M_alt 'R 3'
_space_group_IT_number 146
_space_group_name_Hall 'R 3'
_cell_length_a 5.4258
_cell_length_b 5.4258
_cell_length_c 14.3250
_cell_angle_alpha 90.00
_cell_angle_beta 90.00
_cell_angle_gamma 120.00
loop_
_atom_site_label
_atom_site_fract_x
_atom_site_fract_y
_atom_site_fract_z
_atom_site_occupancy
Mg1 0.0000 0.0000 0.0000 1
Al1 0.0000 0.0000 0.4926 1
Pb1 0.0000 0.0000 0.2712 1
Pb2 0.0000 0.0000 0.7847 1
O1 0.0011 0.4110 0.2287 1
O2 0.0635 0.6995 0.0708 1
# - Calculated total energy: -59.78 eV/f.u.
# - Raw formation energy: -1727 meV per atom
# - M_tot: 0.00 μB per formula unit


# BeTlIn2 (PBE, relaxed)
data_BeTlIn2
_chemical_formula_sum 'Be4 Tl4 In8'
_space_group_name_H-M_alt 'I -4 2 d'
_space_group_IT_number 122
_space_group_name_Hall 'I -4 2bw'
_cell_length_a 4.956
_cell_length_b 4.956
_cell_length_c 17.011
_cell_angle_alpha 90.00
_cell_angle_beta 90.00
_cell_angle_gamma 90.00
loop_
_atom_site_label
_atom_site_fract_x
_atom_site_fract_y
_atom_site_fract_z
_atom_site_occupancy
Be1 0.000 0.000 0.000 1
Tl1 0.000 0.000 0.500 1
In1 0.165 0.250 0.125 1
# - Distance to the lowest polymorph of the same formula: 0.61 eV per formula unit
# - Calculated total energy: -9.81 eV/f.u.
# - Energy of formation from the pure elements: 170.2 kJ/mol of formula units
# - M_tot: 0.00 μB per formula unit


# MgTa2Cl (PBE, relaxed)
data_MgTa2Cl
_chemical_formula_sum 'Mg1 Ta2 Cl1'
_space_group_name_H-M_alt 'P 4 m m'
_space_group_IT_number 99
_space_group_name_Hall 'P 4 -2'
_cell_length_a 3.447
_cell_length_b 3.447
_cell_length_c 7.958
_cell_angle_alpha 90.00
_cell_angle_beta 90.00
_cell_angle_gamma 90.00
loop_
_atom_site_label
_atom_site_fract_x
_atom_site_fract_y
_atom_site_fract_z
_atom_site_occupancy
Mg1 0.000 0.000 0.000 1
Ta1 0.000 0.000 0.367 1
Ta2 0.500 0.500 0.221 1
Cl1 0.500 0.500 0.846 1
# - Distance to the lowest polymorph of the same formula: 0.66 eV per formula unit
# - Calculated total energy: -26.73 eV/f.u.
# - Raw formation energy: 105 meV per atom
# - M_tot: 0.00 μB per formula unit


# NaUSb2 (PBE, relaxed)
data_NaUSb2
_chemical_formula_sum 'Na4 U4 Sb8'
_space_group_name_H-M_alt 'F m -3 m'
_space_group_IT_number 225
_space_group_name_Hall '-F 4 2 3'
_cell_length_a 7.500
_cell_length_b 7.500
_cell_length_c 7.500
_cell_angle_alpha 90.00
_cell_angle_beta 90.00
_cell_angle_gamma 90.00
loop_
_atom_site_label
_atom_site_fract_x
_atom_site_fract_y
_atom_site_fract_z
_atom_site_occupancy
Na1 0.000 0.000 0.000 1
U1 0.000 0.000 0.500 1
Sb1 0.250 0.250 0.250 1
# - Distance to the lowest polymorph of the same formula: 0.46 eV per formula unit
# - Calculated total energy: -21.31 eV/f.u.
# - Raw formation energy: -114 meV per atom
# - M_tot: 2.12 μB per formula unit


# Rb2InHgO (PBE, relaxed)
data_Rb2InHgO
_chemical_formula_sum 'Rb2 In1 Hg1 O1'
_space_group_name_H-M_alt 'P 4/m m m'
_space_group_IT_number 123
_space_group_name_Hall '-P 4 2'
_cell_length_a 5.896
_cell_length_b 5.896
_cell_length_c 4.716
_cell_angle_alpha 90.00
_cell_angle_beta 90.00
_cell_angle_gamma 90.00
loop_
_atom_site_label
_atom_site_fract_x
_atom_site_fract_y
_atom_site_fract_z
_atom_site_occupancy
Rb1 0.000 0.500 0.000 1
In1 0.000 0.000 0.500 1
Hg1 0.500 0.500 0.500 1
O1 0.000 0.000 0.000 1
# - Calculated total energy: -12.45 eV/f.u.
# - Raw formation energy: -503 meV per atom
# - M_tot: 0.00 μB per formula unit


# Cs2RuSCl6 (PBE, relaxed)
data_Cs2RuSCl6
_chemical_formula_sum 'Cs4 Ru2 S2 Cl12'
_space_group_name_H-M_alt 'I 4/m m m'
_space_group_IT_number 139
_space_group_name_Hall '-I 4 2'
_cell_length_a 7.052
_cell_length_b 7.052
_cell_length_c 11.801
_cell_angle_alpha 90.00
_cell_angle_beta 90.00
_cell_angle_gamma 90.00
loop_
_atom_site_label
_atom_site_fract_x
_atom_site_fract_y
_atom_site_fract_z
_atom_site_occupancy
Cs1 0.000 0.500 0.250 1
Ru1 0.000 0.000 0.000 1
S1 0.000 0.000 0.500 1
Cl1 0.000 0.000 0.200 1
Cl2 0.245 0.245 0.000 1
# - Calculated total energy: -34.67 eV/f.u.
# - Raw formation energy: -848 meV per atom
# - M_tot: 1.99 μB per formula unit